Material: LiPt2Se
Method: DFT, GGA-PBEsol
State: optimized geometry

DOS(E_F)   0.436 states/eV/atom
Symmetry   Pmmm
Formation energy without anion corrections   -0.780 eV/f.u.
Raw total energy   -20.52 eV for the cell shown
Volume   14.72 Å³/atom

Unit cell a=2.8794 b=3.7296 c=5.4824 alpha=90.00 beta=90.00 gamma=90.00
Last column: nearest neighbours and their distance in Å.
Sites, in units of the cell vectors:
1 Li 0.0000 0.0000 0.0000  8 Pt 2.71, 2 Se 2.74, 2 Li 2.88
2 Pt 0.5000 0.5000 0.2431  4 Pt 2.66-2.88, 4 Li 2.71, 4 Se 2.74
3 Pt 0.5000 0.5000 0.7569  4 Pt 2.66-2.88, 4 Li 2.71, 4 Se 2.74
4 Se 0.0000 0.0000 0.5000  2 Li 2.74, 8 Pt 2.74, 2 Se 2.88